No. 1
A relaxed AcSi3PdRu crystal, computed with PBE.

```
AcSi3PdRu
1.0
3.159 -6.482 0.000
3.159 6.482 0.000
0.000 0.000 5.972
Ac Si Pd Ru
2 6 2 2
direct
0.247 0.753 0.750
0.753 0.247 0.250
0.211 0.789 0.250
0.294 0.294 0.000
0.294 0.294 0.500
0.706 0.706 0.000
0.706 0.706 0.500
0.789 0.211 0.750
0.387 0.613 0.250
0.613 0.387 0.750
0.041 0.959 0.250
0.959 0.041 0.750
```

E_tot, eV/cell: -75.24
Calculated volume, Å³/atom: 20.4
Raw formation energy, meV per atom: -463
Spin magnetization, μB per atom: 0.00
Space-group type: Cmcm, No. 63

No. 2
A relaxed AcSmPdRu crystal, computed with PBE.

```
AcSmPdRu
1.0
7.266 0.000 0.000
0.000 7.266 0.000
0.000 0.000 7.266
Ac Sm Pd Ru
4 4 4 4
direct
0.000 0.000 0.000
0.000 0.500 0.500
0.500 0.000 0.500
0.500 0.500 0.000
0.000 0.000 0.500
0.000 0.500 0.000
0.500 0.000 0.000
0.500 0.500 0.500
0.250 0.250 0.750
0.250 0.750 0.250
0.750 0.250 0.250
0.750 0.750 0.750
0.250 0.250 0.250
0.250 0.750 0.750
0.750 0.250 0.750
0.750 0.750 0.250
```

E_tot, eV/cell: -99.38
Calculated volume, Å³/atom: 24.0
Formation energy from the elements, kJ per mole of atoms: -37
Spin magnetization, μB per atom: 0.00
Space-group type: F-43m, No. 216

No. 3
A relaxed Ac2Sn4Pd3Ru crystal, computed with PBE.

```
Ac2Sn4Pd3Ru
1.0
4.600 0.000 0.000
0.000 4.600 0.000
0.000 0.000 11.185
Ac Sn Pd Ru
2 4 3 1
direct
0.000 0.500 0.245
0.500 0.000 0.755
0.000 0.000 0.500
0.000 0.500 0.876
0.500 0.000 0.124
0.500 0.500 0.500
0.000 0.000 0.000
0.000 0.500 0.636
0.500 0.000 0.364
0.500 0.500 0.000
```

E_tot, eV/cell: -56.07
Calculated volume, Å³/atom: 23.7
Formation energy from the elements, kJ per mole of atoms: -67
Spin magnetization, μB per atom: 0.00
Space-group type: P-4m2, No. 115

No. 4
A relaxed AcThPdRu crystal, computed with PBE.

```
AcThPdRu
1.0
7.316 0.000 0.000
0.000 7.316 0.000
0.000 0.000 7.316
Ac Th Pd Ru
4 4 4 4
direct
0.000 0.000 0.000
0.000 0.500 0.500
0.500 0.000 0.500
0.500 0.500 0.000
0.000 0.000 0.500
0.000 0.500 0.000
0.500 0.000 0.000
0.500 0.500 0.500
0.250 0.250 0.250
0.250 0.750 0.750
0.750 0.250 0.750
0.750 0.750 0.250
0.250 0.250 0.750
0.250 0.750 0.250
0.750 0.250 0.250
0.750 0.750 0.750
```

E_tot, eV/cell: -110.09
Calculated volume, Å³/atom: 24.5
Formation energy from the elements, kJ per mole of atoms: -37
Spin magnetization, μB per atom: 0.00
Space-group type: F-43m, No. 216

No. 5
A relaxed AcYPdRu crystal, computed with PBE.

```
AcYPdRu
1.0
7.208 0.000 0.000
0.000 7.208 0.000
0.000 0.000 7.208
Ac Y Pd Ru
4 4 4 4
direct
0.000 0.000 0.000
0.000 0.500 0.500
0.500 0.000 0.500
0.500 0.500 0.000
0.000 0.000 0.500
0.000 0.500 0.000
0.500 0.000 0.000
0.500 0.500 0.500
0.250 0.250 0.750
0.250 0.750 0.250
0.750 0.250 0.250
0.750 0.750 0.750
0.250 0.250 0.250
0.250 0.750 0.750
0.750 0.250 0.750
0.750 0.750 0.250
```

E_tot, eV/cell: -106.86
Calculated volume, Å³/atom: 23.4
Formation energy from the elements, kJ per mole of atoms: -40
Spin magnetization, μB per atom: 0.00
Space-group type: F-43m, No. 216

No. 6
A relaxed Ac2Zn6PdRu crystal, computed with PBE.

```
Ac2Zn6PdRu
1.0
-3.425 3.428 4.842
3.425 -3.428 4.842
3.425 3.428 -4.842
Ac Zn Pd Ru
2 6 1 1
direct
0.250 0.250 0.000
0.750 0.750 0.000
0.251 0.249 0.500
0.251 0.751 0.002
0.251 0.751 0.500
0.749 0.249 0.500
0.749 0.249 0.998
0.749 0.751 0.500
0.000 0.500 0.500
0.500 0.000 0.500
```

E_tot, eV/cell: -32.74
Calculated volume, Å³/atom: 22.7
Formation energy from the elements, kJ per mole of atoms: -23
Spin magnetization, μB per atom: 0.00
Space-group type: Immm, No. 71